A relaxed structure of CaNd2Pu. Source: the Alexandria database, functional PBE.

Cell: 3.8621 5.9405 5.9405 Å, 90.00 90.00 90.00°
Each line ends with the local moment (μB).
Atoms (fractional coordinates):
Nd 0.0000 0.5000 0.0000  0.19
Nd 0.0000 0.0000 0.5000  0.19
Ca 0.5000 0.5000 0.5000  0.01
Pu 0.5000 0.0000 0.0000  5.66

SG = P4/mmm
Energy above the lowest structure with this stoichiometry = 86.7 meV/atom
Energy of formation from the pure elements = 0.2196 eV/atom
Total DFT energy (no corrections) = -25.0 eV/cell